The following is a PBE calculation of a geometry-optimized Cu7P12S9Cl7 structure, from the Open Quantum Materials Database.

abc: 16.6717 16.6717 6.1776
angles: 90.00 90.00 120.00
Sites, in units of the cell vectors:
S: 0.7322 0.0706 0.3368
P: 0.8508 0.1492 0.1424
Cl: 0.5313 0.0626 0.9131
S: 0.0706 0.3385 0.8368
Cu: 0.9208 0.8417 0.0183
Cu: 0.3333 0.6667 0.4691
S: 0.3385 0.2678 0.3368
P: 0.7392 0.2608 0.1158
S: 0.7966 0.5933 0.9109
Cl: 0.4687 0.5313 0.4131
S: 0.5933 0.7966 0.4109
S: 0.0706 0.7322 0.8368
S: 0.9294 0.6615 0.3368
Cu: 0.4558 0.9116 0.0458
P: 0.3081 0.4760 0.9104
Cu: 0.1583 0.0792 0.0183
Cl: 0.5313 0.4687 0.9131
P: 0.5240 0.6919 0.9104
Cl: 0.0741 0.9259 0.1414
Cl: 0.3333 0.6667 0.1002
Cl: 0.4687 0.9374 0.4131
S: 0.7966 0.2034 0.9109
Cl: 0.9259 0.0741 0.6414
P: 0.2608 0.5216 0.6158
Cl: 0.1482 0.0741 0.6414
Cu: 0.4558 0.5442 0.0458
P: 0.6919 0.5240 0.4104
P: 0.4760 0.3081 0.4104
Cu: 0.9116 0.4558 0.5458
P: 0.1679 0.4760 0.9104
P: 0.6919 0.1678 0.4104
S: 0.4067 0.2034 0.9109
S: 0.6615 0.7322 0.8368
Cl: 0.0626 0.5313 0.4131
Cu: 0.0884 0.5442 0.0458
Cu: 0.5442 0.4558 0.5458
P: 0.7016 0.8508 0.6424
S: 0.2034 0.7966 0.4109
S: 0.9294 0.2678 0.3368
Cl: 0.9374 0.4687 0.9131
Cu: 0.9208 0.0792 0.0183
S: 0.3385 0.0706 0.3368
P: 0.1492 0.8508 0.6424
Cl: 0.6667 0.3333 0.6002
S: 0.7322 0.6615 0.3368
S: 0.2678 0.9294 0.8368
P: 0.5240 0.8322 0.9104
P: 0.7392 0.4784 0.1158
P: 0.8321 0.3081 0.4104
Cu: 0.6667 0.3333 0.9691
Cl: 0.9259 0.8518 0.6414
Cl: 0.0741 0.1482 0.1414
P: 0.4760 0.1679 0.4104
S: 0.2034 0.4067 0.4109
Cu: 0.0792 0.9208 0.5183
P: 0.5216 0.2608 0.1158
P: 0.8322 0.5240 0.4104
P: 0.2608 0.7392 0.6158
S: 0.2678 0.3385 0.8368
P: 0.2984 0.1492 0.1424
P: 0.3081 0.8321 0.9104
P: 0.8508 0.7016 0.1424
S: 0.6615 0.9294 0.8368
Cl: 0.8518 0.9259 0.1414
P: 0.1678 0.6919 0.9104
P: 0.1492 0.2984 0.6424
Cu: 0.0792 0.1583 0.5183
P: 0.4784 0.7392 0.6158
Cu: 0.5442 0.0884 0.5458
Cu: 0.8417 0.9208 0.5183

Calculated values
Space group = P6_3mc, No. 186

=====

The following is a PBE calculation of a geometry-optimized Tm2Re structure, from the Open Quantum Materials Database.

abc: 5.7200 5.7200 5.7200
angles: 60.00 60.00 60.00
Sites, in units of the cell vectors:
Tm: 0.6250 0.6250 0.1250
Re: 0.0000 0.0000 0.0000
Re: 0.2500 0.2500 0.2500
Tm: 0.6250 0.1250 0.6250
Tm: 0.6250 0.6250 0.6250
Tm: 0.1250 0.6250 0.6250

Calculated values
Space group = Fd-3m, No. 227
Formation energy from the elements = 1.19 eV per atom
Magnetic moment = 0.0 μB/f.u.

=====

no.,V (Å³/atom),total DFT energy (no corrections) (eV per atom)
1,21.2,-4.3550
2,22.1,-5.9370